(1)
{"formula": "Sb2Au2O5", "functional": "PBE", "state": "optimized geometry", "cell": [[7.5925, 0.0000, 0.0000], [0.0000, 4.0969, 0.0000], [0.0000, 0.0000, 4.0969]], "species": ["Sb", "Au", "Au", "O", "O", "O", "Sb", "O", "O"], "frac_coords": [[0.2412, 0.5000, 0.5000], [0.5000, 0.0000, 0.0000], [0.0000, 0.0000, 0.0000], [0.2215, 0.0000, 0.5000], [0.5000, 0.5000, 0.5000], [0.2215, 0.5000, 0.0000], [0.7588, 0.5000, 0.5000], [0.7785, 0.0000, 0.5000], [0.7785, 0.5000, 0.0000]], "sg": "P4/mmm, No. 123", "vol_a3_per_cell": 127.44, "final_energy_ev_per_atom": -4.760}

(2)
{"formula": "SbAuSeO", "functional": "PBE", "state": "optimized geometry", "cell": [[3.8976, 0.0000, 0.0000], [0.0000, 3.8976, 0.0000], [0.0000, 0.0000, 9.6041]], "species": ["Se", "Au", "O", "Sb", "Au", "Sb", "Se", "O"], "frac_coords": [[0.2500, 0.2500, 0.7153], [0.2500, 0.7500, 0.5000], [0.2500, 0.7500, 0.0000], [0.2500, 0.2500, 0.1266], [0.7500, 0.2500, 0.5000], [0.7500, 0.7500, 0.8734], [0.7500, 0.7500, 0.2847], [0.7500, 0.2500, 0.0000]], "sg": "P4/nmm, No. 129", "vol_a3_per_cell": 145.90, "final_energy_ev_per_atom": -4.408}

(3)
{"formula": "SbAuSeO", "functional": "PBE", "state": "optimized geometry", "cell": [[-4.9559, 0.9712, -3.1832], [1.0809, -4.5658, -3.0759], [-4.6737, -6.3484, 7.7812]], "species": ["Sb", "Au", "O", "O", "Au", "Se", "Sb", "Se", "O", "Sb", "Sb", "Au", "Se", "O", "Au", "Se"], "frac_coords": [[0.0003, 0.2084, 0.9077], [0.8399, 0.4699, 0.2944], [0.7824, 0.4818, 0.9734], [0.2176, 0.9818, 0.0266], [0.3669, 0.2194, 0.5077], [0.1196, 0.1488, 0.3168], [0.4155, 0.2058, 0.1531], [0.8804, 0.6488, 0.6832], [0.7870, 0.9430, 0.9689], [0.9997, 0.7084, 0.0923], [0.5845, 0.7058, 0.8469], [0.1601, 0.9699, 0.7056], [0.4899, 0.7229, 0.2748], [0.2130, 0.4430, 0.0311], [0.6331, 0.7194, 0.4923], [0.5101, 0.2229, 0.7252]], "sg": "P2_1, No. 4", "vol_a3_per_cell": 368.41, "final_energy_ev_per_atom": -4.516}

(4)
{"formula": "SbAuSeO", "functional": "PBE", "state": "optimized geometry", "cell": [[3.8182, 0.0000, 0.0000], [0.0000, 6.8796, 0.0000], [0.0000, 0.0000, 6.4805]], "species": ["O", "Sb", "Se", "Au", "O", "Se", "Sb", "Au"], "frac_coords": [[0.5000, 0.9521, 0.6394], [0.5000, 0.1941, 0.4721], [0.0000, 0.3552, 0.7411], [0.0000, 0.2905, 0.1384], [0.5000, 0.0479, 0.1394], [0.0000, 0.6448, 0.2411], [0.5000, 0.8059, 0.9721], [0.0000, 0.7095, 0.6384]], "sg": "Pmc2_1, No. 26", "vol_a3_per_cell": 170.23, "final_energy_ev_per_atom": -4.249}

(5)
{"formula": "Sr2SbAuO6", "functional": "PBE", "state": "optimized geometry", "cell": [[1.5571, -5.7218, -0.7206], [3.8768, -0.5243, 4.5142], [-5.5947, 2.0444, 0.4493]], "species": ["Sr", "O", "O", "O", "Sb", "O", "O", "Sr", "Au", "O"], "frac_coords": [[0.2500, 0.7500, 0.5000], [0.2145, 0.2145, 0.0000], [0.6726, 0.8268, 0.4995], [0.7855, 0.7855, 0.0000], [0.0000, 0.0000, 0.0000], [0.1732, 0.6726, 0.8458], [0.8268, 0.3274, 0.1542], [0.7500, 0.2500, 0.5000], [0.5000, 0.5000, 0.0000], [0.3274, 0.1732, 0.5005]], "sg": "I4/m, No. 87", "vol_a3_per_cell": 136.14, "final_energy_ev_per_atom": -5.758}

(6)
{"formula": "SbTeAuO", "functional": "PBE", "state": "optimized geometry", "cell": [[-0.7075, 3.1679, -2.1614], [-6.5168, -1.1096, 0.5069], [-0.2237, 4.0754, 6.0466]], "species": ["O", "Sb", "Au", "Sb", "O", "Te", "Te", "Au"], "frac_coords": [[0.5000, 0.8255, 0.7563], [0.5000, 0.9201, 0.0165], [0.0000, 0.2412, 0.0330], [0.5000, 0.0799, 0.5165], [0.5000, 0.1745, 0.2563], [0.0000, 0.3634, 0.6852], [0.0000, 0.6366, 0.1852], [0.0000, 0.7588, 0.5330]], "sg": "Pmc2_1, No. 26", "vol_a3_per_cell": 188.62, "final_energy_ev_per_atom": -4.113}